## Pu4AgIrPd2 (PBE-GGA)

Data for a geometry-optimized Pu4AgIrPd2 structure.

a = 5.0226 Å, b = 5.0226 Å, c = 8.5988 Å
α = 73.02°, β = 73.02°, γ = 60.00°
Closest atoms and distances in Å follow each position.
Fractional positions:
1 Pu 0.3850 0.3850 0.8451  1 Ir 2.79, 4 Pd 2.94-3.00
2 Pu 0.8663 0.8663 0.4010  3 Ir 3.01, 4 Pd 3.10-3.26, 1 Ag 3.25, 3 Pu 3.31
3 Pu 0.1337 0.1337 0.5990  3 Ir 3.01, 4 Pd 3.10-3.26, 1 Ag 3.25, 3 Pu 3.31
4 Pu 0.6150 0.6150 0.1549  1 Ir 2.79, 4 Pd 2.94-3.00
5 Ag 0.0000 0.0000 0.0000  8 Pu 3.16-3.25, 6 Pd 3.38
6 Ir 0.5000 0.5000 0.5000  8 Pu 2.79-3.01
7 Pd 0.7386 0.7386 0.7843  8 Pu 2.94-3.26
8 Pd 0.2614 0.2614 0.2157  8 Pu 2.94-3.26

Results
- Volume: 22.11 Å³ per atom
- Space group: No. 166
- Energy of formation: -0.309 eV per atom
- Size of the total moment: 2.773 μB per atom